1.
# PBE Y2PaCr2C4, optimized geometry
data_Y2PaCr2C4
_chemical_formula_sum 'Y4 Pa2 Cr4 C8'
_space_group_name_H-M_alt 'C 1 2/m 1'
_space_group_IT_number 12
_cell_length_a 12.8750
_cell_length_b 3.4276
_cell_length_c 6.0829
_cell_angle_alpha 90.00
_cell_angle_beta 110.25
_cell_angle_gamma 90.00
loop_
_space_group_symop_operation_xyz
'x,y,z'
'-x,-y,-z'
'-x,y,-z'
'x,-y,z'
'x+1/2,y+1/2,z'
'-x+1/2,-y+1/2,-z'
'-x+1/2,y+1/2,-z'
'x+1/2,-y+1/2,z'
loop_
_atom_site_label
_atom_site_fract_x
_atom_site_fract_y
_atom_site_fract_z
Y1 0.1368 0.0000 0.0468
Pa1 0.0000 0.0000 0.5000
Cr1 0.1826 0.5000 0.4849
C1 0.0353 0.5000 0.2484
C2 0.2171 0.0000 0.6982
# ΔE_f in eV per atom: -0.12

***

2.
# PBE TbSc2O, optimized geometry
data_TbSc2O
_chemical_formula_sum 'Tb1 Sc2 O1'
_space_group_name_H-M_alt 'P 4/m m m'
_space_group_IT_number 123
_space_group_name_Hall '-P 4 2'
_cell_length_a 2.9926
_cell_length_b 2.9926
_cell_length_c 8.3321
_cell_angle_alpha 90.00
_cell_angle_beta 90.00
_cell_angle_gamma 90.00
loop_
_atom_site_label
_atom_site_fract_x
_atom_site_fract_y
_atom_site_fract_z
Tb1 0.0000 0.0000 0.0000
Sc1 0.5000 0.5000 0.3305
O1 0.0000 0.0000 0.5000
# E_form (uncorrected) in eV per atom: -0.840
# Energy above the lowest structure with this stoichiometry in meV/atom: 556

***

3.
# PBE BaNi2RhSe8, optimized geometry
data_BaNi2RhSe8
_chemical_formula_sum 'Ba1 Ni2 Rh1 Se8'
_space_group_name_H-M_alt 'P -3'
_space_group_IT_number 147
_cell_length_a 6.0598
_cell_length_b 6.0598
_cell_length_c 8.4705
_cell_angle_alpha 90.00
_cell_angle_beta 90.00
_cell_angle_gamma 120.00
loop_
_space_group_symop_operation_xyz
'x,y,z'
'-x,-y,-z'
'-y,x-y,z'
'y,-x+y,-z'
'-x+y,-x,z'
'x-y,x,-z'
loop_
_atom_site_label
_atom_site_fract_x
_atom_site_fract_y
_atom_site_fract_z
Ba1 0.0000 0.0000 0.0000
Ni1 0.3333 0.6667 0.7646
Rh1 0.0000 0.0000 0.5000
Se1 0.0179 0.6458 0.3560
Se2 0.3333 0.6667 0.0278
# E_form (uncorrected) in eV per atom: -0.340

***

4.
# PBE LiAu4Se4Cl4O12, optimized geometry
data_LiAu4Se4Cl4O12
_chemical_formula_sum 'Li1 Au4 Se4 Cl4 O12'
_space_group_name_H-M_alt 'P 1'
_space_group_IT_number 1
_cell_length_a 4.4622
_cell_length_b 10.1679
_cell_length_c 11.0759
_cell_angle_alpha 83.35
_cell_angle_beta 89.55
_cell_angle_gamma 89.64
loop_
_space_group_symop_operation_xyz
'x,y,z'
loop_
_atom_site_label
_atom_site_fract_x
_atom_site_fract_y
_atom_site_fract_z
Li1 0.0000 0.0000 0.0000
Au1 0.8591 0.8337 0.2819
Au2 0.8662 0.4162 0.4707
Au3 0.8687 0.9970 0.6592
Au4 0.8739 0.4099 0.9727
Se1 0.0662 0.7029 0.5618
Se2 0.1557 0.2849 0.7319
Se3 0.5874 0.5434 0.2069
Se4 0.6622 0.1301 0.3814
Cl1 0.1718 0.2199 0.0225
Cl2 0.1896 0.9214 0.8202
Cl3 0.5663 0.9152 0.1076
Cl4 0.5883 0.5979 0.9260
O1 0.1700 0.7710 0.4169
O2 0.2136 0.3690 0.5887
O3 0.5219 0.4614 0.3515
O4 0.5595 0.0608 0.5269
O5 0.7797 0.5927 0.5367
O6 0.7965 0.4130 0.1530
O7 0.7970 0.8116 0.6109
O8 0.8453 0.1838 0.7155
O9 0.8924 0.6440 0.2274
O10 0.9261 0.0225 0.3290
O11 0.9485 0.4110 0.7910
O12 0.9510 0.2392 0.4064
# E_form (uncorrected) in eV per atom: -0.547
# Energy above the lowest structure with this stoichiometry in meV/atom: 9

***

5.
# PBE AlCO2F, optimized geometry
data_AlCO2F
_chemical_formula_sum 'Al1 C1 O2 F1'
_space_group_name_H-M_alt 'P 4/m m m'
_space_group_IT_number 123
_space_group_name_Hall '-P 4 2'
_cell_length_a 3.5490
_cell_length_b 3.5490
_cell_length_c 3.5391
_cell_angle_alpha 90.00
_cell_angle_beta 90.00
_cell_angle_gamma 90.00
loop_
_atom_site_label
_atom_site_fract_x
_atom_site_fract_y
_atom_site_fract_z
Al1 0.0000 0.0000 0.0000
C1 0.5000 0.5000 0.5000
O1 0.0000 0.5000 0.5000
F1 0.5000 0.5000 0.0000
# E_form (uncorrected) in eV per atom: 0.177

***

6.
# PBE PrSnAu, optimized geometry
data_PrSnAu
_chemical_formula_sum 'Pr4 Sn4 Au4'
_space_group_name_H-M_alt 'I m m 2'
_space_group_IT_number 44
_cell_length_a 4.7943
_cell_length_b 7.7056
_cell_length_c 8.2677
_cell_angle_alpha 90.00
_cell_angle_beta 90.00
_cell_angle_gamma 90.00
loop_
_space_group_symop_operation_xyz
'x,y,z'
'-x,-y,z'
'-x,y,z'
'x,-y,z'
'x+1/2,y+1/2,z+1/2'
'-x+1/2,-y+1/2,z+1/2'
'-x+1/2,y+1/2,z+1/2'
'x+1/2,-y+1/2,z+1/2'
loop_
_atom_site_label
_atom_site_fract_x
_atom_site_fract_y
_atom_site_fract_z
Pr1 0.0000 0.0000 0.0000
Pr2 0.0000 0.5000 0.0481
Sn1 0.0000 0.2288 0.3637
Au1 0.0000 0.2950 0.6949
# ΔE_f in eV per atom: -0.79

***

7.
# PBE CdAsP2, optimized geometry
data_CdAsP2
_chemical_formula_sum 'Cd2 As2 P4'
_space_group_name_H-M_alt 'I 4/m m m'
_space_group_IT_number 139
_space_group_name_Hall '-I 4 2'
_cell_length_a 4.6186
_cell_length_b 4.6186
_cell_length_c 6.8290
_cell_angle_alpha 90.00
_cell_angle_beta 90.00
_cell_angle_gamma 90.00
loop_
_atom_site_label
_atom_site_fract_x
_atom_site_fract_y
_atom_site_fract_z
Cd1 0.0000 0.0000 0.0000
As1 0.0000 0.0000 0.5000
P1 0.0000 0.5000 0.2500
# ΔE_f in eV per atom: 0.57
# Energy above the lowest structure with this stoichiometry in meV/atom: 419

***

8.
# PBE Th7Si2C2, optimized geometry
data_Th7Si2C2
_chemical_formula_sum 'Th14 Si4 C4'
_space_group_name_H-M_alt 'C 1 2/m 1'
_space_group_IT_number 12
_cell_length_a 7.9357
_cell_length_b 11.5933
_cell_length_c 7.2920
_cell_angle_alpha 90.00
_cell_angle_beta 98.14
_cell_angle_gamma 90.00
loop_
_space_group_symop_operation_xyz
'x,y,z'
'-x,-y,-z'
'-x,y,-z'
'x,-y,z'
'x+1/2,y+1/2,z'
'-x+1/2,-y+1/2,-z'
'-x+1/2,y+1/2,-z'
'x+1/2,-y+1/2,z'
loop_
_atom_site_label
_atom_site_fract_x
_atom_site_fract_y
_atom_site_fract_z
Th1 0.0000 0.0000 0.0000
Th2 0.0933 0.5000 0.7837
Th3 0.2322 0.3008 0.2252
Si1 0.0000 0.3062 0.5000
C1 0.2044 0.5000 0.1209
# E_form (uncorrected) in eV per atom: 0.032

***

9.
# PBE SrBeRu, optimized geometry
data_SrBeRu
_chemical_formula_sum 'Sr1 Be1 Ru1'
_space_group_name_H-M_alt 'P -6 m 2'
_space_group_IT_number 187
_space_group_name_Hall 'P -6 2'
_cell_length_a 3.8910
_cell_length_b 3.8910
_cell_length_c 4.6442
_cell_angle_alpha 90.00
_cell_angle_beta 90.00
_cell_angle_gamma 120.00
loop_
_atom_site_label
_atom_site_fract_x
_atom_site_fract_y
_atom_site_fract_z
Sr1 0.0000 0.0000 0.0000
Be1 0.6667 0.3333 0.5000
Ru1 0.3333 0.6667 0.5000
# ΔE_f in eV per atom: 0.24
# Energy above the lowest structure with this stoichiometry in meV/atom: 256

***

10.
# PBE Ta2WBr, optimized geometry
data_Ta2WBr
_chemical_formula_sum 'Ta8 W4 Br4'
_space_group_name_H-M_alt 'I -4 2 d'
_space_group_IT_number 122
_space_group_name_Hall 'I -4 2bw'
_cell_length_a 4.0272
_cell_length_b 4.0272
_cell_length_c 19.0692
_cell_angle_alpha 90.00
_cell_angle_beta 90.00
_cell_angle_gamma 90.00
loop_
_atom_site_label
_atom_site_fract_x
_atom_site_fract_y
_atom_site_fract_z
Ta1 0.2463 0.2500 0.1250
W1 0.0000 0.0000 0.0000
Br1 0.0000 0.0000 0.5000
# E_form (uncorrected) in eV per atom: 1.292
# Energy above the lowest structure with this stoichiometry in meV/atom: 1123

***

11.
# PBE SrTcSb2, optimized geometry
data_SrTcSb2
_chemical_formula_sum 'Sr2 Tc2 Sb4'
_space_group_name_H-M_alt 'C 1 m 1'
_space_group_IT_number 8
_cell_length_a 12.0608
_cell_length_b 3.3606
_cell_length_c 6.2473
_cell_angle_alpha 90.00
_cell_angle_beta 120.60
_cell_angle_gamma 90.00
loop_
_space_group_symop_operation_xyz
'x,y,z'
'x,-y,z'
'x+1/2,y+1/2,z'
'x+1/2,-y+1/2,z'
loop_
_atom_site_label
_atom_site_fract_x
_atom_site_fract_y
_atom_site_fract_z
Sr1 0.0000 0.0000 0.0000
Tc1 0.2474 0.5000 0.4556
Sb1 0.1639 0.0000 0.6775
Sb2 0.3440 0.0000 0.2626
# E_form (uncorrected) in eV per atom: -0.056
# Energy above the lowest structure with this stoichiometry in meV/atom: 197

***

12.
# PBE AcPa3Si4N12, optimized geometry
data_AcPa3Si4N12
_chemical_formula_sum 'Ac3 Pa9 Si12 N36'
_space_group_name_H-M_alt 'R 3 2'
_space_group_IT_number 155
_space_group_name_Hall 'R 3 2"'
_cell_length_a 11.1111
_cell_length_b 11.1111
_cell_length_c 8.6162
_cell_angle_alpha 90.00
_cell_angle_beta 90.00
_cell_angle_gamma 120.00
loop_
_atom_site_label
_atom_site_fract_x
_atom_site_fract_y
_atom_site_fract_z
Ac1 0.0000 0.0000 0.0000
Pa1 0.0000 0.5480 0.0000
Si1 0.0000 0.0000 0.5000
Si2 0.0000 0.4492 0.5000
N1 0.0000 0.6008 0.5000
N2 0.0000 0.8490 0.5000
N3 0.0303 0.2100 0.1816
# E_form (uncorrected) in eV per atom: -0.944

***

13.
# PBE Ac5PmCd4, optimized geometry
data_Ac5PmCd4
_chemical_formula_sum 'Ac5 Pm1 Cd4'
_space_group_name_H-M_alt 'P 4/m m m'
_space_group_IT_number 123
_space_group_name_Hall '-P 4 2'
_cell_length_a 4.0402
_cell_length_b 4.0402
_cell_length_c 21.5947
_cell_angle_alpha 90.00
_cell_angle_beta 90.00
_cell_angle_gamma 90.00
loop_
_atom_site_label
_atom_site_fract_x
_atom_site_fract_y
_atom_site_fract_z
Ac1 0.0000 0.0000 0.0000
Ac2 0.0000 0.0000 0.1909
Ac3 0.0000 0.0000 0.3821
Pm1 0.5000 0.5000 0.5000
Cd1 0.5000 0.5000 0.0950
Cd2 0.5000 0.5000 0.2884
# ΔE_f in eV per atom: -0.22

***

14.
# PBE SbIrRh2, optimized geometry
data_SbIrRh2
_chemical_formula_sum 'Sb2 Ir2 Rh4'
_space_group_name_H-M_alt 'I m m 2'
_space_group_IT_number 44
_cell_length_a 2.9544
_cell_length_b 4.6095
_cell_length_c 9.4175
_cell_angle_alpha 90.00
_cell_angle_beta 90.00
_cell_angle_gamma 90.00
loop_
_space_group_symop_operation_xyz
'x,y,z'
'-x,-y,z'
'-x,y,z'
'x,-y,z'
'x+1/2,y+1/2,z+1/2'
'-x+1/2,-y+1/2,z+1/2'
'-x+1/2,y+1/2,z+1/2'
'x+1/2,-y+1/2,z+1/2'
loop_
_atom_site_label
_atom_site_fract_x
_atom_site_fract_y
_atom_site_fract_z
Sb1 0.0000 0.0000 0.0000
Ir1 0.0000 0.5000 0.2660
Rh1 0.0000 0.0000 0.5032
Rh2 0.0000 0.5000 0.7318
# E_form (uncorrected) in eV per atom: 0.064

***

15.
# PBE CeTm4S5, optimized geometry
data_CeTm4S5
_chemical_formula_sum 'Ce2 Tm8 S10'
_space_group_name_H-M_alt 'I m m m'
_space_group_IT_number 71
_space_group_name_Hall '-I 2 2'
_cell_length_a 3.8613
_cell_length_b 5.4920
_cell_length_c 19.4452
_cell_angle_alpha 90.00
_cell_angle_beta 90.00
_cell_angle_gamma 90.00
loop_
_atom_site_label
_atom_site_fract_x
_atom_site_fract_y
_atom_site_fract_z
Ce1 0.0000 0.0000 0.0000
Tm1 0.0000 0.0000 0.2004
Tm2 0.0000 0.0000 0.4021
S1 0.0000 0.5000 0.0000
S2 0.0000 0.5000 0.1992
S3 0.0000 0.5000 0.3943
# E_form (uncorrected) in eV per atom: -1.953

***

16.
# PBE Ba2TiMn, optimized geometry
data_Ba2TiMn
_chemical_formula_sum 'Ba8 Ti4 Mn4'
_space_group_name_H-M_alt 'F m -3 m'
_space_group_IT_number 225
_space_group_name_Hall '-F 4 2 3'
_cell_length_a 7.6508
_cell_length_b 7.6508
_cell_length_c 7.6508
_cell_angle_alpha 90.00
_cell_angle_beta 90.00
_cell_angle_gamma 90.00
loop_
_atom_site_label
_atom_site_fract_x
_atom_site_fract_y
_atom_site_fract_z
Ba1 0.2500 0.2500 0.2500
Ti1 0.0000 0.0000 0.0000
Mn1 0.0000 0.0000 0.5000
# ΔE_f in eV per atom: 1.38
# Energy above the lowest structure with this stoichiometry in meV/atom: 687

***

17.
# PBE LiPmGe2Au, optimized geometry
data_LiPmGe2Au
_chemical_formula_sum 'Li2 Pm2 Ge4 Au2'
_space_group_name_H-M_alt 'I -4 m 2'
_space_group_IT_number 119
_space_group_name_Hall 'I -4 -2'
_cell_length_a 4.1988
_cell_length_b 4.1988
_cell_length_c 11.0465
_cell_angle_alpha 90.00
_cell_angle_beta 90.00
_cell_angle_gamma 90.00
loop_
_atom_site_label
_atom_site_fract_x
_atom_site_fract_y
_atom_site_fract_z
Li1 0.0000 0.0000 0.0000
Pm1 0.0000 0.5000 0.7500
Ge1 0.0000 0.5000 0.1386
Au1 0.0000 0.0000 0.5000
# ΔE_f in eV per atom: -0.68